Record 1
Compound: Pr6Nd12Dy
Source: Alexandria via LeMat-Bulk
Functional: PBE
Structure: optimized geometry

Cell: 13.9522 13.9522 12.8151 Å, 90.00 90.00 120.00°
Space group R-3m (No. 166, hexagonal axes)
Unique sites:
Pr: 0.0303 0.5152 0.2251
Nd: 0.0000 0.3850 0.0000
Nd: 0.0938 0.1877 0.8671
Dy: 0.0000 0.0000 0.5000

Values from the calculation:
energy of formation from the pure elements = 0.41 eV per atom
ρ = 6.3 g cm⁻³

Record 2
Compound: UTlAs2
Source: Alexandria via LeMat-Bulk
Functional: PBE
Structure: optimized geometry

Cell: 4.1749 4.1749 26.5446 Å, 90.00 90.00 120.00°
Space group R-3m (No. 166, hexagonal axes)
Unique sites:
U: 0.0000 0.0000 0.0000
Tl: 0.0000 0.0000 0.5000
As: 0.0000 0.0000 0.3861

Values from the calculation:
energy of formation from the pure elements = -0.11 eV per atom
polymorph energy (0 for the lowest one) = 228 meV/atom
ρ = 7.4 g cm⁻³

Record 3
Compound: LiAg5
Source: Alexandria via LeMat-Bulk
Functional: PBE
Structure: optimized geometry

Cell: 5.054 8.724 5.050 Å, 90.00 110.32 90.00°
Space group C2 (No. 5)
Unique sites:
Li: 0.000 0.000 0.000
Ag: 0.000 0.165 0.500
Ag: 0.000 0.334 0.000
Ag: 0.000 0.499 0.500
Ag: 0.000 0.666 0.000
Ag: 0.000 0.834 0.500

Values from the calculation:
energy of formation from the pure elements = -0.08 eV per atom
polymorph energy (0 for the lowest one) = 1 meV/atom
ρ = 8.7 g cm⁻³

Record 4
Compound: BaBi2Pb6
Source: Alexandria via LeMat-Bulk
Functional: PBE
Structure: optimized geometry

Cell: 14.119 6.787 6.623 Å, 90.00 90.92 90.00°
Space group C2/m (No. 12)
Unique sites:
Ba: 0.000 0.000 0.000
Bi: 0.098 0.500 0.139
Pb: 0.000 0.251 0.500
Pb: 0.212 0.253 0.736

Values from the calculation:
energy of formation from the pure elements = -0.10 eV per atom
polymorph energy (0 for the lowest one) = 96 meV/atom
ρ = 9.4 g cm⁻³